Record 1
Below is a relaxed structure of HfH2S, with properties calculated at the GGA-PBE level.

Results
* energy relative to the lowest polymorph listed for this composition: 331 meV/atom

Unit cell a=3.7766 b=3.7766 c=7.1421 alpha=74.67 beta=74.67 gamma=90.00
Element x y z (fractional)
H (0.8754, 0.1250, 0.2500)
H (0.8746, 0.6250, 0.2500)
H (0.3750, 0.1246, 0.7500)
H (0.8750, 0.1254, 0.7500)
S (0.5000, 0.5000, 0.0000)
S (0.2500, 0.7500, 0.5000)
Hf (0.0000, 0.0000, 0.0000)
Hf (0.7500, 0.2500, 0.5000)

---

Record 2
Below is a relaxed structure of Hf3H2S2, with properties calculated at the GGA-PBE level.

Results
* electronic total energy: -7.272 eV per atom

Unit cell a=3.3607 b=6.2682 c=5.5036 alpha=113.26 beta=90.27 gamma=105.95
Element x y z (fractional)
Hf (0.0000, 0.0000, 0.0000)
Hf (0.7596, 0.5236, 0.2561)
Hf (0.2404, 0.4764, 0.7439)
H (0.8297, 0.6558, 0.6754)
H (0.1703, 0.3442, 0.3246)
S (0.5880, 0.1787, 0.7792)
S (0.4120, 0.8213, 0.2208)

---

DOS at the Fermi energy list, top to bottom, in states/eV/cell: 1.54; 1.52